Material: TaTl2Br
Method: DFT, PBE-GGA
State: relaxed

The value obtained for the size of the total moment is 0.000 μB/cell. As for the energy relative to the elements, uncorrected: 0.06 eV per atom. For the total energy, the calculation gives -4.50 eV per atom.

CIF file:
```
data_TaTl2Br
_space_group_name_H-M_alt 'R 3 m'
_space_group_IT_number 160
_space_group_name_Hall 'R 3 -2"'
_cell_length_a 3.3019
_cell_length_b 3.3019
_cell_length_c 33.5011
_cell_angle_alpha 90.00
_cell_angle_beta 90.00
_cell_angle_gamma 120.00
loop_
_atom_site_label
_atom_site_fract_x
_atom_site_fract_y
_atom_site_fract_z
_atom_site_occupancy
Ta1 0.0000 0.0000 0.0000 1
Tl1 0.0000 0.0000 0.4896 1
Tl2 0.0000 0.0000 0.7398 1
Br1 0.0000 0.0000 0.2785 1
```

---

Material: MnFeAu2
Method: DFT, PBE-GGA
State: relaxed

The value obtained for the size of the total moment is 0.004 μB/cell. For the total energy, the calculation gives -5.39 eV per atom. The energy of formation from the pure elements comes out at 661 meV per atom.

CIF file:
```
data_MnFeAu2
_space_group_name_H-M_alt 'F m -3 m'
_space_group_IT_number 225
_space_group_name_Hall '-F 4 2 3'
_cell_length_a 6.130
_cell_length_b 6.130
_cell_length_c 6.130
_cell_angle_alpha 90.00
_cell_angle_beta 90.00
_cell_angle_gamma 90.00
loop_
_atom_site_label
_atom_site_fract_x
_atom_site_fract_y
_atom_site_fract_z
_atom_site_occupancy
Mn1 0.000 0.000 0.000 1
Fe1 0.000 0.000 0.500 1
Au1 0.250 0.250 0.250 1
```

---

Material: Dy3Mg2Ir3
Method: DFT, PBE-GGA
State: relaxed

The value obtained for the size of the total moment is 0.000 μB/cell. For the total energy, the calculation gives -6.11 eV per atom. The energy of formation from the pure elements comes out at -662 meV per atom.

CIF file:
```
data_Dy3Mg2Ir3
_space_group_name_H-M_alt 'P 63/m c m'
_space_group_IT_number 193
_space_group_name_Hall '-P 6c 2'
_cell_length_a 8.2225
_cell_length_b 8.2225
_cell_length_c 5.7451
_cell_angle_alpha 90.00
_cell_angle_beta 90.00
_cell_angle_gamma 120.00
loop_
_atom_site_label
_atom_site_fract_x
_atom_site_fract_y
_atom_site_fract_z
_atom_site_occupancy
Dy1 0.0000 0.2727 0.2500 1
Mg1 0.3333 0.6667 0.0000 1
Ir1 0.0000 0.3876 0.7500 1
```

---

Material: Ba2HRhSe
Method: DFT, PBE-GGA
State: relaxed

The value obtained for the size of the total moment is 0.001 μB/cell. For the total energy, the calculation gives -4.45 eV per atom.

CIF file:
```
data_Ba2HRhSe
_space_group_name_H-M_alt 'P 4/m m m'
_space_group_IT_number 123
_space_group_name_Hall '-P 4 2'
_cell_length_a 5.711
_cell_length_b 5.711
_cell_length_c 3.736
_cell_angle_alpha 90.00
_cell_angle_beta 90.00
_cell_angle_gamma 90.00
loop_
_atom_site_label
_atom_site_fract_x
_atom_site_fract_y
_atom_site_fract_z
_atom_site_occupancy
Ba1 0.000 0.500 0.000 1
H1 0.000 0.000 0.000 1
Rh1 0.000 0.000 0.500 1
Se1 0.500 0.500 0.500 1
```

---

The records above yield ρ values of 10546 14553 10986 6236 kg/m3, respectively.